(1)
## Tl8Hg2Te (PBE-GGA)

Data for an optimized crystal structure of Tl8Hg2Te.

Unit cell a=6.4765 b=6.6097 c=9.5050 alpha=108.72 beta=113.05 gamma=91.53
Closest atoms and distances in Å follow each position.
Fractional positions:
Tl (0.7290, 0.9900, 0.1147)  2 Hg 3.30-3.68, 4 Tl 3.37-3.70, 1 Te 3.55
Tl (0.4526, 0.8283, 0.7040)  2 Hg 3.30-3.68, 4 Tl 3.37-3.69, 1 Te 3.54
Tl (0.8481, 0.4819, 0.5672)  2 Hg 3.21-3.30, 1 Te 3.30, 4 Tl 3.31-3.40
Tl (0.3571, 0.4780, 0.9429)  2 Hg 3.23-3.33, 5 Tl 3.29-3.61, 1 Te 3.41
Tl (0.8258, 0.3402, 0.8752)  2 Hg 3.23-3.33, 5 Tl 3.29-3.61, 1 Te 3.41
Tl (0.3330, 0.3362, 0.2504)  2 Hg 3.21-3.30, 1 Te 3.30, 4 Tl 3.31-3.40
Tl (0.8828, 0.9687, 0.5252)  2 Hg 3.24-3.29, 4 Tl 3.31-3.61, 1 Te 3.52
Tl (0.2992, 0.8496, 0.2933)  2 Hg 3.23-3.29, 4 Tl 3.31-3.61, 1 Te 3.52
Hg (0.8629, 0.5234, 0.2443)  7 Tl 3.21-3.33
Hg (0.3186, 0.2950, 0.5736)  7 Tl 3.21-3.33
Te (0.0908, 0.9087, 0.9092)  8 Tl 3.30-3.55

Raw formation energy = -0.043 eV per atom


(2)
## Ca6Ac8Y (PBE-GGA)

Data for an optimized crystal structure of Ca6Ac8Y.

Unit cell a=6.5724 b=10.7774 c=10.7774 alpha=120.00 beta=90.00 gamma=90.00
Closest atoms and distances in Å follow each position.
Fractional positions:
Ac (0.2310, 0.9493, 0.7311)  1 Y 3.20
Ac (0.2310, 0.2689, 0.2182)  1 Y 3.20
Ac (0.2320, 0.6667, 0.3333)  3 Ac 3.82, 9 Ca 4.03-4.09
Ac (0.7690, 0.7311, 0.7818)  1 Y 3.20
Ac (0.2310, 0.7818, 0.0507)  1 Y 3.20
Ac (0.7680, 0.3333, 0.6667)  3 Ac 3.82, 9 Ca 4.03-4.09
Ac (0.7690, 0.2182, 0.9493)  1 Y 3.20
Ac (0.7690, 0.0507, 0.2689)  1 Y 3.20
Ca (0.7366, 0.4717, 0.3764)  8 Ac 3.81-4.09, 4 Ca 3.94-4.22
Ca (0.7366, 0.6236, 0.0952)  8 Ac 3.81-4.09, 4 Ca 3.94-4.22
Ca (0.2634, 0.0952, 0.4717)  8 Ac 3.81-4.09, 4 Ca 3.94-4.22
Ca (0.2634, 0.3764, 0.9048)  8 Ac 3.81-4.09, 4 Ca 3.94-4.22
Ca (0.2634, 0.5283, 0.6236)  8 Ac 3.81-4.09, 4 Ca 3.94-4.22
Ca (0.7366, 0.9048, 0.5283)  8 Ac 3.81-4.09, 4 Ca 3.94-4.22
Y (0.5000, 0.0000, 0.0000)  6 Ac 3.20

Energy of formation from the pure elements = 0.20 eV per atom